Na3AsSe2: relaxed, GGA-PBE.

Cell lengths 8.362, 8.362, 8.362 Å; angles 129.75, 71.22, 133.03 degrees
Sites, in units of the cell vectors:
Na  0.023  0.750  0.273
Na  0.250  0.250  0.000
Na  0.477  0.750  0.727
Na  0.523  0.250  0.273
Na  0.750  0.750  0.000
Na  0.977  0.250  0.727
As  0.000  0.500  0.500
As  0.500  0.000  0.500
Se  0.134  0.218  0.352
Se  0.366  0.718  0.084
Se  0.634  0.282  0.916
Se  0.866  0.782  0.648

Computed properties:
SG = No. 72
Formation energy (no corrections) = -618 meV/atom